No. 1
The following is a DFT calculation (PBE-GGA) of an optimized crystal structure of CoAgAsRh2.

Cell lengths 4.8444, 4.8444, 4.5063 Å; angles 90.00, 90.00, 90.00 degrees
Space group P4/mmm (No. 123)
Asymmetric unit:
Co (0.0000, 0.0000, 0.0000)
Ag (0.0000, 0.0000, 0.5000)
As (0.5000, 0.5000, 0.0000)
Rh (0.0000, 0.5000, 0.5000)

Summary:
Total magnetic moment: 3.330 Bohr magnetons per cell
Calculated total energy: -4.1894 eV per atom
DOS at the Fermi energy: 7.245 states/eV per cell


No. 2
The following is a DFT calculation (PBE-GGA) of an optimized crystal structure of CoAgAsSe2.

Cell lengths 4.9120, 4.9120, 4.3195 Å; angles 90.00, 90.00, 90.00 degrees
Space group P4/mmm (No. 123)
Asymmetric unit:
Co (0.0000, 0.0000, 0.0000)
Ag (0.5000, 0.5000, 0.5000)
As (0.0000, 0.0000, 0.5000)
Se (0.0000, 0.5000, 0.0000)

Summary:
Total magnetic moment: 0.000 Bohr magnetons per cell
Energy relative to the lowest polymorph listed for this composition: 0 meV/atom
Raw formation energy: 37 kJ/mol of atoms
Calculated total energy: -3.9291 eV per atom
DOS at the Fermi energy: 5.142 states/eV per cell


No. 3
The following is a DFT calculation (PBE-GGA) of an optimized crystal structure of CoAgAsSe2.

Cell lengths 5.1032, 5.1032, 4.8656 Å; angles 90.00, 90.00, 90.00 degrees
Space group P4/mmm (No. 123)
Asymmetric unit:
Co (0.0000, 0.0000, 0.0000)
Ag (0.5000, 0.5000, 0.5000)
As (0.5000, 0.5000, 0.0000)
Se (0.0000, 0.5000, 0.5000)

Summary:
Total magnetic moment: 2.338 Bohr magnetons per cell
Energy relative to the lowest polymorph listed for this composition: 810 meV/atom
Raw formation energy: 115 kJ/mol of atoms
Calculated total energy: -3.1191 eV per atom
DOS at the Fermi energy: 6.628 states/eV per cell


No. 4
The following is a DFT calculation (PBE-GGA) of an optimized crystal structure of CrAgAs.

Cell lengths 6.1653, 6.1653, 6.1653 Å; angles 90.00, 90.00, 90.00 degrees
Space group F-43m (No. 216)
Asymmetric unit:
Cr (0.0000, 0.0000, 0.0000)
Ag (0.0000, 0.0000, 0.5000)
As (0.2500, 0.2500, 0.2500)

Summary:
Total magnetic moment: 16.003 Bohr magnetons per cell
Energy relative to the lowest polymorph listed for this composition: 159 meV/atom
Calculated total energy: -5.5227 eV per atom
DOS at the Fermi energy: 4.839 states/eV per cell


No. 5
The following is a DFT calculation (PBE-GGA) of an optimized crystal structure of CrAgAs2.

Cell lengths 3.0932, 3.0932, 24.4682 Å; angles 90.00, 90.00, 120.00 degrees
Space group R-3m (No. 166, hexagonal axes)
Asymmetric unit:
Cr (0.0000, 0.0000, 0.0000)
Ag (0.0000, 0.0000, 0.5000)
As (0.0000, 0.0000, 0.2649)

Summary:
Total magnetic moment: 1.294 Bohr magnetons per cell
Energy relative to the lowest polymorph listed for this composition: 0 meV/atom
Calculated total energy: -5.3878 eV per atom
DOS at the Fermi energy: 7.999 states/eV per cell


No. 6
The following is a DFT calculation (PBE-GGA) of an optimized crystal structure of CrAg2As.

Cell lengths 3.1268, 3.4570, 6.5105 Å; angles 90.00, 90.00, 90.00 degrees
Space group Pmm2 (No. 25)
Asymmetric unit:
Cr (0.0000, 0.0000, 0.0000)
Ag (0.0000, 0.0000, 0.5232)
Ag (0.5000, 0.5000, 0.2694)
As (0.5000, 0.5000, 0.8298)

Summary:
Total magnetic moment: 3.254 Bohr magnetons per cell
Calculated total energy: -4.8142 eV per atom
DOS at the Fermi energy: 1.774 states/eV per cell


No. 7
The following is a DFT calculation (PBE-GGA) of an optimized crystal structure of CrAg2As.

Cell lengths 2.9148, 2.9148, 8.4624 Å; angles 90.00, 90.00, 90.00 degrees
Space group P4/mmm (No. 123)
Asymmetric unit:
Cr (0.0000, 0.0000, 0.0000)
Ag (0.5000, 0.5000, 0.2362)
As (0.0000, 0.0000, 0.5000)

Summary:
Total magnetic moment: 3.810 Bohr magnetons per cell
Calculated total energy: -4.5781 eV per atom
DOS at the Fermi energy: 3.901 states/eV per cell


No. 8
The following is a DFT calculation (PBE-GGA) of an optimized crystal structure of CrAg2As.

Cell lengths 3.0216, 3.0216, 27.3872 Å; angles 90.00, 90.00, 120.00 degrees
Space group R-3m (No. 166, hexagonal axes)
Asymmetric unit:
Cr (0.0000, 0.0000, 0.0000)
Ag (0.0000, 0.0000, 0.2514)
As (0.0000, 0.0000, 0.5000)

Summary:
Total magnetic moment: 11.608 Bohr magnetons per cell
Calculated total energy: -4.5421 eV per atom
DOS at the Fermi energy: 8.577 states/eV per cell


No. 9
The following is a DFT calculation (PBE-GGA) of an optimized crystal structure of Cr2AgAs.

Cell lengths 2.8619, 2.8619, 25.8375 Å; angles 90.00, 90.00, 120.00 degrees
Space group R3m (No. 160, hexagonal axes)
Asymmetric unit:
Cr (0.0000, 0.0000, 0.0000)
Cr (0.0000, 0.0000, 0.2721)
Ag (0.0000, 0.0000, 0.5144)
As (0.0000, 0.0000, 0.7443)

Summary:
Total magnetic moment: 0.000 Bohr magnetons per cell
Calculated total energy: -6.3942 eV per atom
DOS at the Fermi energy: 5.068 states/eV per cell


No. 10
The following is a DFT calculation (PBE-GGA) of an optimized crystal structure of CrAgAs2.

Cell lengths 3.0335, 2.9344, 7.8096 Å; angles 90.00, 90.32, 90.00 degrees
Space group P2/m (No. 10)
Asymmetric unit:
Cr (0.0000, 0.0000, 0.0000)
Ag (0.5000, 0.0000, 0.5000)
As (0.4974, 0.5000, 0.8122)

Summary:
Total magnetic moment: 0.832 Bohr magnetons per cell
Energy relative to the lowest polymorph listed for this composition: 43 meV/atom
Calculated total energy: -5.3448 eV per atom
DOS at the Fermi energy: 2.759 states/eV per cell


No. 11
The following is a DFT calculation (PBE-GGA) of an optimized crystal structure of CrAg2As.

Cell lengths 6.5584, 6.5584, 6.5584 Å; angles 90.00, 90.00, 90.00 degrees
Space group F-43m (No. 216)
Asymmetric unit:
Cr (0.0000, 0.0000, 0.0000)
Ag (0.0000, 0.0000, 0.5000)
Ag (0.2500, 0.2500, 0.2500)
As (0.2500, 0.2500, 0.7500)

Summary:
Total magnetic moment: 15.814 Bohr magnetons per cell
Calculated total energy: -4.7318 eV per atom
DOS at the Fermi energy: 7.101 states/eV per cell


No. 12
The following is a DFT calculation (PBE-GGA) of an optimized crystal structure of Cr2AgAs.

Cell lengths 7.0956, 7.0956, 5.7534 Å; angles 90.00, 90.00, 90.00 degrees
Space group I-42d (No. 122)
Asymmetric unit:
Cr (0.2135, 0.2500, 0.1250)
Ag (0.0000, 0.0000, 0.5000)
As (0.0000, 0.0000, 0.0000)

Summary:
Total magnetic moment: 28.106 Bohr magnetons per cell
Calculated total energy: -6.1353 eV per atom
DOS at the Fermi energy: 10.355 states/eV per cell


Question: Among the records above, which one has the lowest calculated total energy?
Answer: number 9


Question: Which value of DOS at the Fermi energy does entry 1 give?
Answer: 7.245 states/eV per cell


Question: Number 7 is which compound?
Answer: CrAg2As